Density functional theory data (GGA-PBE) for crystalline Dy2UPaC4 at its relaxed geometry.

extended XYZ file:
```
8
Lattice="6.124 0.000 0.000 0.000 3.616 0.000 -2.118 0.000 5.879" Properties=species:S:1:pos:R:3 pbc="T T T"
Dy 0.000 0.000 0.000
Dy -1.059 1.808 2.939
U 2.003 0.000 2.939
Pa 3.062 1.808 0.000
C 0.122 0.000 4.406
C 1.162 1.808 1.585
C 2.844 1.808 4.294
C 3.884 0.000 1.472
```

Theoretical density, g/cm3: 10.74
DOS(E_F), states/eV per cell: 4.09
Calculated volume, Å³ per cell: 130
DFT total energy, eV per cell: -69.6
Symmetry: No. 10